# K2NiAg2F6, optimized geometry, DFT PBE with a Hubbard U
data_K2NiAg2F6
_chemical_formula_sum 'K4 Ni2 Ag4 F12'
_cell_length_a 11.237
_cell_length_b 6.091
_cell_length_c 6.313
_cell_angle_alpha 90.00
_cell_angle_beta 119.37
_cell_angle_gamma 90.00
_symmetry_space_group_name_H-M 'C 1 2/m 1'
_symmetry_Int_Tables_number 12
_symmetry_space_group_name_Hall '-C 2y'
loop_
_atom_site_label
_atom_site_type_symbol
_atom_site_fract_x
_atom_site_fract_y
_atom_site_fract_z
K1 K 0.223 0.000 0.152
Ni1 Ni 0.000 0.000 0.500
Ag1 Ag 0.083 0.500 0.260
F1 F 0.067 0.234 0.769
F2 F 0.191 0.000 0.538
# Energy   -85.56 eV for the cell shown